A relaxed KPu2ZnSe4 crystal, computed with PBE-GGA.

Values from the calculation:
Energy relative to the elements, uncorrected ... -1.27 eV per atom
SG ... Cmcm
Uncorrected energy ... -6.888 eV/atom
Total moment ... 11.00 μB per formula unit
Density of states at the Fermi level ... 42.7 states/eV/cell

Cell lengths 7.5348, 7.5348, 14.6345 Å; angles 90.00, 90.00, 147.74 degrees
Fractional coordinates of all 16 atoms:
1 K 0.1126 0.8874 0.7500
2 K 0.8874 0.1126 0.2500
3 Pu 0.3685 0.6315 0.5552
4 Pu 0.3685 0.6315 0.9448
5 Pu 0.6315 0.3685 0.0552
6 Pu 0.6315 0.3685 0.4448
7 Zn 0.1611 0.8389 0.2500
8 Zn 0.8389 0.1611 0.7500
9 Se 0.0000 0.0000 0.0000
10 Se 0.0000 0.0000 0.5000
11 Se 0.2623 0.7377 0.1139
12 Se 0.2623 0.7377 0.3861
13 Se 0.4345 0.5655 0.7500
14 Se 0.5655 0.4345 0.2500
15 Se 0.7377 0.2623 0.6139
16 Se 0.7377 0.2623 0.8861